Arrangement a

The following is a GGA+U calculation of a geometry-optimized NaNiOF2 structure, from the Alexandria database.

Unit cell a=4.0403 b=4.0403 c=3.7200 alpha=90.00 beta=90.00 gamma=90.00
With the nearest neighbours (Å) after each atom.
Sites, in units of the cell vectors:
1 O 0.0000 0.0000 0.5000  2 Ni 1.86
2 F 0.0000 0.5000 0.0000  2 Ni 2.02
3 F 0.5000 0.0000 0.0000  2 Ni 2.02
4 Na 0.5000 0.5000 0.5000  8 F 2.75, 4 O 2.86
5 Ni 0.0000 0.0000 0.0000  2 O 1.86, 4 F 2.02

M_tot	0.535	μB per atom
DOS at the Fermi energy	1.64	states/eV/cell

=====

Arrangement b

The following is a GGA+U calculation of a geometry-optimized NaNiOF2 structure, from the Alexandria database.

Unit cell a=3.9496 b=3.9496 c=4.2115 alpha=90.00 beta=90.00 gamma=90.00
With the nearest neighbours (Å) after each atom.
Sites, in units of the cell vectors:
1 O 0.0000 0.0000 0.5000  2 Na 2.11
2 F 0.5000 0.0000 0.0000  2 Na 1.97
3 F 0.0000 0.5000 0.0000  2 Na 1.97
4 Na 0.0000 0.0000 0.0000  4 F 1.97, 2 O 2.11
5 Ni 0.5000 0.5000 0.5000  4 O 2.79, 8 F 2.89

M_tot	0.200	μB per atom
DOS at the Fermi energy	0.00	states/eV/cell

=====

Question: of the structures shown, which is the most stable? Reply: arrangement a.